First-principles (meta-GGA SCAN) data for a crystal of ZrBeCu2Ag relaxed with PBEsol, as listed in Alexandria.

The structure in CIF format:
```
data_ZrBeCu2Ag
_symmetry_space_group_name_H-M 'P 4/m m m'
_symmetry_Int_Tables_number 123
_symmetry_space_group_name_Hall '-P 4 2'
_cell_length_a 4.0862
_cell_length_b 4.0862
_cell_length_c 4.6313
_cell_angle_alpha 90.00
_cell_angle_beta 90.00
_cell_angle_gamma 90.00
loop_
_atom_site_label
_atom_site_fract_x
_atom_site_fract_y
_atom_site_fract_z
Zr1 0.0000 0.0000 0.0000
Be1 0.0000 0.0000 0.5000
Cu1 0.0000 0.5000 0.5000
Ag1 0.5000 0.5000 0.0000
```

Calculated volume (Å³/cell): 77
Magnetic moment (μB/f.u.): 0.00
Calculated formation energy (eV/atom): 0.436